[1]
Co2PRu | PBE-GGA | relaxed

Lattice parameters (Å, degrees): 4.816 4.816 4.095 64.84 64.84 33.01
Fractional coordinates of all 4 atoms:
P: 0.250 0.250 0.250
Co: 0.968 0.968 0.032
Co: 0.532 0.532 0.468
Ru: 0.750 0.750 0.750

Calculated formation energy (eV per atom): -0.182
Fermi-level density of states (states/eV per cell): 4.3
Magnetic moment (μB per formula unit): 2.62

[2]
CoP2Ru | PBE-GGA | relaxed

Lattice parameters (Å, degrees): 5.093 5.093 6.230 65.87 65.87 90.00
Fractional coordinates of all 8 atoms:
Ru: 0.750 0.250 0.500
Ru: 0.000 0.000 0.000
P: 0.375 0.393 0.750
P: 0.607 0.125 0.250
P: 0.143 0.625 0.250
P: 0.875 0.857 0.750
Co: 0.500 0.500 0.000
Co: 0.250 0.750 0.500

Offset from the most stable computed form (kJ/mol of atoms): 11.3
Calculated formation energy (eV per atom): -0.231
Fermi-level density of states (states/eV per cell): 4.3
Magnetic moment (μB per formula unit): 0.00

[3]
Co2PRu | PBE-GGA | relaxed

Lattice parameters (Å, degrees): 4.500 4.500 4.392 67.07 67.07 35.80
Fractional coordinates of all 4 atoms:
Co: 0.985 0.985 0.024
Co: 0.216 0.216 0.217
P: 0.518 0.518 0.587
Ru: 0.782 0.782 0.672

Calculated formation energy (eV per atom): -0.146
Fermi-level density of states (states/eV per cell): 3.3
Magnetic moment (μB per formula unit): 2.35

[4]
CoP2Ru2 | PBE-GGA | relaxed

Lattice parameters (Å, degrees): 6.722 6.722 2.816 90.00 90.00 90.00
Fractional coordinates of all 10 atoms:
P: 0.845 0.655 0.000
P: 0.155 0.345 0.000
P: 0.345 0.845 0.000
P: 0.655 0.155 0.000
Ru: 0.854 0.354 0.500
Ru: 0.646 0.854 0.500
Ru: 0.354 0.146 0.500
Ru: 0.146 0.646 0.500
Co: 0.500 0.500 0.000
Co: 0.000 0.000 0.000

Calculated formation energy (eV per atom): -0.171
Fermi-level density of states (states/eV per cell): 9.0
Magnetic moment (μB per formula unit): 1.04

[5]
CoP2Ru | PBE-GGA | relaxed

Lattice parameters (Å, degrees): 4.156 4.156 4.156 60.00 60.00 60.00
Fractional coordinates of all 4 atoms:
P: 0.250 0.250 0.250
P: 0.000 0.000 0.000
Co: 0.500 0.500 0.500
Ru: 0.750 0.750 0.750

Offset from the most stable computed form (kJ/mol of atoms): 73.2
Calculated formation energy (eV per atom): 0.410
Fermi-level density of states (states/eV per cell): 3.6
Magnetic moment (μB per formula unit): 0.00

[6]
Co2PRu | PBE-GGA | relaxed

Lattice parameters (Å, degrees): 7.770 7.770 7.770 20.12 20.12 20.12
Fractional coordinates of all 4 atoms:
P: 0.503 0.503 0.503
Co: 0.244 0.244 0.244
Co: 0.996 0.996 0.996
Ru: 0.756 0.756 0.756

Calculated formation energy (eV per atom): 0.027
Fermi-level density of states (states/eV per cell): 4.4
Magnetic moment (μB per formula unit): 2.96

[7]
CoPRu3 | PBE-GGA | relaxed

Lattice parameters (Å, degrees): 4.387 4.387 4.387 90.00 90.00 90.00
Fractional coordinates of all 5 atoms:
P: 0.500 0.500 0.500
Ru: 0.000 0.500 0.000
Ru: 0.000 0.000 0.500
Ru: 0.500 0.000 0.000
Co: 0.000 0.000 0.000

Offset from the most stable computed form (kJ/mol of atoms): 77.2
Calculated formation energy (eV per atom): 1.575
Fermi-level density of states (states/eV per cell): 9.6
Magnetic moment (μB per formula unit): 3.02

[8]
Co2PRu | PBE-GGA | relaxed

Lattice parameters (Å, degrees): 7.772 7.772 7.772 19.68 19.68 19.68
Fractional coordinates of all 4 atoms:
Co: 0.510 0.510 0.510
Co: 0.990 0.990 0.990
Ru: 0.750 0.750 0.750
P: 0.250 0.250 0.250

Calculated formation energy (eV per atom): -0.022
Fermi-level density of states (states/eV per cell): 3.6
Magnetic moment (μB per formula unit): 0.69

[9]
Co2PRu | PBE-GGA | relaxed

Lattice parameters (Å, degrees): 4.338 4.338 2.659 90.00 90.00 111.99
Fractional coordinates of all 4 atoms:
Co: 0.000 0.000 0.000
Co: 0.500 0.500 0.000
Ru: 0.000 0.500 0.500
P: 0.500 0.000 0.500

Calculated formation energy (eV per atom): 0.028
Fermi-level density of states (states/eV per cell): 5.8
Magnetic moment (μB per formula unit): 0.01

[10]
Co2PRu | PBE-GGA | relaxed

Lattice parameters (Å, degrees): 2.832 4.025 4.148 90.00 90.00 90.00
Fractional coordinates of all 4 atoms:
Ru: 0.000 0.500 0.500
Co: 0.500 0.500 0.000
Co: 0.000 0.000 0.000
P: 0.500 0.000 0.500

Calculated formation energy (eV per atom): 0.006
Fermi-level density of states (states/eV per cell): 4.7
Magnetic moment (μB per formula unit): 3.03

[11]
CoP2Ru | PBE-GGA | relaxed

Lattice parameters (Å, degrees): 3.777 3.417 4.258 95.33 90.00 90.00
Fractional coordinates of all 4 atoms:
P: 0.000 0.450 0.564
P: 0.000 0.050 0.936
Ru: 0.500 0.250 0.250
Co: 0.500 0.750 0.750

Offset from the most stable computed form (kJ/mol of atoms): 28.1
Calculated formation energy (eV per atom): -0.058
Fermi-level density of states (states/eV per cell): 3.5
Magnetic moment (μB per formula unit): 0.46

[12]
Co3PRu | PBE-GGA | relaxed

Lattice parameters (Å, degrees): 4.432 4.432 4.432 90.00 90.00 90.00
Fractional coordinates of all 5 atoms:
Co: 0.000 0.500 0.000
Co: 0.500 0.000 0.000
Co: 0.000 0.000 0.500
Ru: 0.000 0.000 0.000
P: 0.500 0.500 0.500

Offset from the most stable computed form (kJ/mol of atoms): 108.0
Calculated formation energy (eV per atom): 1.654
Fermi-level density of states (states/eV per cell): 7.8
Magnetic moment (μB per formula unit): 4.90

[13]
Co4PRu | PBE-GGA | relaxed

Lattice parameters (Å, degrees): 4.683 4.683 4.683 60.00 60.00 60.00
Fractional coordinates of all 6 atoms:
Co: 0.375 0.375 0.874
Co: 0.375 0.874 0.375
Co: 0.375 0.375 0.375
Co: 0.874 0.375 0.375
Ru: 0.000 0.000 0.000
P: 0.750 0.750 0.750

Calculated formation energy (eV per atom): 0.356
Fermi-level density of states (states/eV per cell): 8.2
Magnetic moment (μB per formula unit): 7.91

[14]
CoP2Ru | PBE-GGA | relaxed

Lattice parameters (Å, degrees): 2.882 2.882 7.365 90.00 90.00 121.53
Fractional coordinates of all 4 atoms:
P: 0.000 0.000 0.511
P: 0.000 0.000 0.989
Co: 0.500 0.500 0.750
Ru: 0.500 0.500 0.250

Offset from the most stable computed form (kJ/mol of atoms): 47.0
Calculated formation energy (eV per atom): 0.139
Fermi-level density of states (states/eV per cell): 3.9
Magnetic moment (μB per formula unit): 0.00

[15]
Co3PRu | PBE-GGA | relaxed

Lattice parameters (Å, degrees): 4.110 4.110 4.110 90.00 90.00 90.00
Fractional coordinates of all 5 atoms:
Co: 0.000 0.000 0.500
Co: 0.500 0.000 0.000
Co: 0.000 0.500 0.000
Ru: 0.500 0.500 0.500
P: 0.000 0.000 0.000

Offset from the most stable computed form (kJ/mol of atoms): 0.0
Calculated formation energy (eV per atom): 0.535
Fermi-level density of states (states/eV per cell): 8.8
Magnetic moment (μB per formula unit): 6.44

[16]
Co2PRu | PBE-GGA | relaxed

Lattice parameters (Å, degrees): 2.691 2.691 6.342 90.00 90.00 90.00
Fractional coordinates of all 4 atoms:
Ru: 0.500 0.500 0.750
Co: 0.000 0.000 0.044
Co: 0.000 0.000 0.456
P: 0.500 0.500 0.250

Calculated formation energy (eV per atom): -0.058
Fermi-level density of states (states/eV per cell): 3.8
Magnetic moment (μB per formula unit): 1.86

[17]
CoP2Ru | PBE-GGA | relaxed

Lattice parameters (Å, degrees): 4.111 4.111 4.111 60.00 60.00 60.00
Fractional coordinates of all 4 atoms:
P: 0.250 0.250 0.250
P: 0.750 0.750 0.750
Co: 0.000 0.000 0.000
Ru: 0.500 0.500 0.500

Offset from the most stable computed form (kJ/mol of atoms): 23.1
Calculated formation energy (eV per atom): -0.109
Fermi-level density of states (states/eV per cell): 2.4
Magnetic moment (μB per formula unit): 1.88

[18]
CoP3Ru3 | PBE-GGA | relaxed

Lattice parameters (Å, degrees): 3.533 10.125 10.247 90.00 90.00 90.00
Fractional coordinates of all 28 atoms:
Ru: 0.750 0.711 0.502
Ru: 0.250 0.060 0.337
Ru: 0.250 0.789 0.002
Ru: 0.750 0.211 0.998
Ru: 0.250 0.293 0.207
Ru: 0.250 0.560 0.163
Ru: 0.750 0.707 0.793
Ru: 0.250 0.793 0.293
Ru: 0.750 0.940 0.663
Ru: 0.750 0.207 0.707
Ru: 0.750 0.440 0.837
Ru: 0.250 0.289 0.498
P: 0.750 0.921 0.410
P: 0.750 0.415 0.606
P: 0.750 0.915 0.894
P: 0.250 0.768 0.649
P: 0.250 0.079 0.590
P: 0.750 0.232 0.351
P: 0.250 0.085 0.106
P: 0.250 0.579 0.910
P: 0.750 0.732 0.149
P: 0.750 0.421 0.090
P: 0.250 0.585 0.394
P: 0.250 0.268 0.851
Co: 0.750 0.456 0.365
Co: 0.250 0.544 0.635
Co: 0.250 0.044 0.865
Co: 0.750 0.956 0.135

Calculated formation energy (eV per atom): -0.444
Fermi-level density of states (states/eV per cell): 11.7
Magnetic moment (μB per formula unit): 0.00

[19]
Co2PRu | PBE-GGA | relaxed

Lattice parameters (Å, degrees): 4.261 4.261 4.261 128.85 128.85 75.26
Fractional coordinates of all 4 atoms:
Co: 0.000 0.000 0.000
Co: 0.250 0.750 0.500
P: 0.500 0.500 0.000
Ru: 0.750 0.250 0.500

Calculated formation energy (eV per atom): -0.074
Fermi-level density of states (states/eV per cell): 5.1
Magnetic moment (μB per formula unit): 1.22

[20]
CoP2Ru | PBE-GGA | relaxed

Lattice parameters (Å, degrees): 3.900 3.900 4.801 78.72 78.72 43.47
Fractional coordinates of all 4 atoms:
Ru: 0.750 0.750 0.750
P: 0.499 0.499 0.486
P: 0.001 0.001 0.014
Co: 0.250 0.250 0.250

Offset from the most stable computed form (kJ/mol of atoms): 12.7
Calculated formation energy (eV per atom): -0.217
Fermi-level density of states (states/eV per cell): 3.0
Magnetic moment (μB per formula unit): 0.00